## LaGaSbI2 (PBE-GGA)

Data for crystalline LaGaSbI2 at its relaxed geometry.

Cell: 6.249 6.249 6.258 Å, 90.00 90.00 90.00°
Sites, in units of the cell vectors:
1 I 0.000 0.500 0.000
2 I 0.500 0.000 0.000
3 Sb 0.000 0.000 0.500
4 Ga 0.500 0.500 0.500
5 La 0.000 0.000 0.000

Computed properties:
Total magnetic moment: 0.730 μB/cell
Symmetry: P4/mmm, No. 123
Excess energy over the best structure of this formula in the dataset: 0 meV/atom
ΔE_f (raw): -377 meV/atom



## La2OsRh (PBE-GGA)

Data for crystalline La2OsRh at its relaxed geometry.

Cell: 5.916 5.916 5.916 Å, 138.61 138.61 59.98°
Sites, in units of the cell vectors:
1 La 0.000 0.000 0.000
2 La 0.250 0.750 0.500
3 Os 0.500 0.500 0.000
4 Rh 0.750 0.250 0.500

Computed properties:
Formation enthalpy at 0 K: -0.045 eV per atom
Total magnetic moment: 0.000 μB/cell
Symmetry: I-4m2, No. 119
Excess energy over the best structure of this formula in the dataset: 196 meV/atom



## Ac4NdRh4 (PBE-GGA)

Data for crystalline Ac4NdRh4 at its relaxed geometry.

Cell: 6.015 7.326 7.325 Å, 80.25 65.76 65.76°
Sites, in units of the cell vectors:
1 Ac 0.599 0.597 0.205
2 Ac 0.401 0.403 0.795
3 Ac 0.195 0.205 0.404
4 Ac 0.805 0.795 0.596
5 Nd 0.000 0.000 0.000
6 Rh 0.899 0.389 0.813
7 Rh 0.101 0.611 0.187
8 Rh 0.288 0.813 0.611
9 Rh 0.712 0.187 0.389

Computed properties:
Formation enthalpy at 0 K: -0.602 eV per atom
Total magnetic moment: 0.000 μB/cell
Symmetry: C2/m, No. 12



## KSNF2 (PBE-GGA)

Data for crystalline KSNF2 at its relaxed geometry.

Cell: 5.033 5.033 5.233 Å, 90.00 90.00 90.00°
Sites, in units of the cell vectors:
1 K 0.000 0.000 0.000
2 N 0.000 0.000 0.500
3 S 0.500 0.500 0.500
4 F 0.000 0.500 0.000
5 F 0.500 0.000 0.000

Computed properties:
Total magnetic moment: 6.003 μB/cell
Symmetry: P4/mmm, No. 123
Excess energy over the best structure of this formula in the dataset: 1416 meV/atom
ΔE_f (raw): 595 meV/atom



## PrYTh2Sb5 (PBE-GGA)

Data for crystalline PrYTh2Sb5 at its relaxed geometry.

Cell: 5.396 5.396 11.551 Å, 90.00 90.00 90.00°
Sites, in units of the cell vectors:
1 Pr 0.000 0.000 0.500
2 Y 0.000 0.000 0.000
3 Th 0.500 0.500 0.301
4 Th 0.500 0.500 0.699
5 Sb 0.000 0.500 0.500
6 Sb 0.500 0.000 0.500
7 Sb 0.000 0.000 0.756
8 Sb 0.000 0.000 0.244
9 Sb 0.500 0.500 0.000

Computed properties:
Total magnetic moment: 0.000 μB/cell
Symmetry: P4/mmm, No. 123
ΔE_f (raw): -28 meV/atom



## Zr2ScPtO (PBE-GGA)

Data for crystalline Zr2ScPtO at its relaxed geometry.

Cell: 4.426 4.426 4.323 Å, 90.00 90.00 90.00°
Sites, in units of the cell vectors:
1 Sc 0.000 0.000 0.500
2 O 0.000 0.000 0.000
3 Zr 0.000 0.500 0.000
4 Zr 0.500 0.000 0.000
5 Pt 0.500 0.500 0.500

Computed properties:
Total magnetic moment: 0.000 μB/cell
Symmetry: P4/mmm, No. 123
ΔE_f (raw): -1514 meV/atom



## KMgGa3 (PBE-GGA)

Data for crystalline KMgGa3 at its relaxed geometry.

Cell: 5.293 5.293 5.293 Å, 90.00 90.00 90.00°
Sites, in units of the cell vectors:
1 K 0.500 0.500 0.500
2 Mg 0.000 0.000 0.000
3 Ga 0.000 0.500 0.000
4 Ga 0.000 0.000 0.500
5 Ga 0.500 0.000 0.000

Computed properties:
Formation enthalpy at 0 K: 0.234 eV per atom
Total magnetic moment: 0.000 μB/cell
Symmetry: Pm-3m, No. 221
Excess energy over the best structure of this formula in the dataset: 0 meV/atom



## PmNd2ErSc (PBE-GGA)

Data for crystalline PmNd2ErSc at its relaxed geometry.

Cell: 7.205 8.254 7.047 Å, 125.85 90.00 90.00°
Sites, in units of the cell vectors:
1 Pm 0.250 0.728 0.456
2 Pm 0.750 0.272 0.544
3 Nd 0.500 0.300 0.000
4 Nd 0.000 0.700 0.000
5 Nd 0.500 0.700 0.000
6 Nd 0.000 0.300 0.000
7 Er 0.750 0.742 0.483
8 Er 0.250 0.258 0.517
9 Sc 0.250 0.989 0.978
10 Sc 0.750 0.011 0.022

Computed properties:
Formation enthalpy at 0 K: 0.355 eV per atom
Total magnetic moment: 0.001 μB/cell
Symmetry: Cmcm, No. 63



Question: Number 3 is which compound?
Answer: Ac4NdRh4



Question: Which value of total magnetic moment does entry 2 give?
Answer: 0.000 μB/cell